# 1
Density functional theory data (PBE) for a relaxed AlHgOs2Cl crystal.

```
5
Lattice="-2.589 -2.851 1.929 -2.152 -1.526 -5.144 3.046 -3.022 -0.378" Properties=species:S:1:pos:R:3 pbc="T T T"
Al -0.847 -3.699 -1.796
Os 1.523 -1.511 -0.189
Os -1.294 -1.425 0.964
Hg -1.076 -0.763 -2.572
Cl 0.000 0.000 0.000
```

Properties
N(E_F)	1.212	states/eV/atom
space group	No. 123
calculated total energy	-0.289	Ry per atom
crystal system	tetragonal
total magnetic moment	0.7	μB/cell
formation energy from raw total energies	1.739	eV/atom
calculated volume	107.2	Å³ per cell

---

# 2
Density functional theory data (PBE) for a relaxed TbThSe2 crystal.

```
8
Lattice="-2.402 1.955 2.739 -4.912 0.319 -4.541 -3.243 -8.085 2.934" Properties=species:S:1:pos:R:3 pbc="T T T"
Tb -5.282 -1.562 -2.262
Tb -6.199 -6.158 3.341
Th -7.304 -4.823 -1.710
Th -5.565 -2.809 1.499
Se -4.978 -0.124 0.100
Se -7.547 -4.898 1.250
Se -2.635 -2.904 1.016
Se -0.683 0.324 0.425
```

Properties
N(E_F)	0.977	states/eV/atom
space group	No. 7
calculated total energy	-0.441	Ry per atom
crystal system	monoclinic
total magnetic moment	0.0	μB/cell
formation energy from raw total energies	-1.246	eV/atom
calculated volume	254.5	Å³ per cell

---

# 3
Density functional theory data (PBE) for a relaxed Pr3Mg2Zn2 crystal.

```
7
Lattice="-5.560 0.573 2.538 -0.176 -0.415 -4.696 6.456 -7.244 2.777" Properties=species:S:1:pos:R:3 pbc="T T T"
Pr 0.000 0.000 0.000
Pr 2.086 -4.410 2.691
Pr -1.367 -2.675 -2.072
Mg -3.430 -0.799 0.211
Mg 4.149 -6.286 0.408
Zn 1.296 -2.693 0.196
Zn -0.576 -4.393 0.423
```

Properties
N(E_F)	1.070	states/eV/atom
space group	No. 2
calculated total energy	-0.223	Ry per atom
crystal system	triclinic
total magnetic moment	0.0	μB/cell
calculated volume	188.5	Å³ per cell

---

# 4
Density functional theory data (PBE) for a relaxed LiZr2Be crystal.

```
4
Lattice="5.521 -0.003 0.003 2.722 4.803 -0.003 -3.642 -3.224 2.612" Properties=species:S:1:pos:R:3 pbc="T T T"
Be 3.940 2.294 0.000
Li 1.932 2.183 1.304
Zr 0.023 0.013 0.000
Zr 2.828 -0.514 1.308
```

Properties
N(E_F)	0.879	states/eV/atom
space group	No. 44
calculated total energy	-0.406	Ry per atom
crystal system	orthorhombic
total magnetic moment	0.0	μB/cell
calculated volume	69.3	Å³ per cell